This record from Alexandria describes an optimized crystal structure of BeHg2H. The functional is PBE.

Cell and atoms, written as POSCAR:
```
BeHg2H
1.0
6.216 0.000 0.000
0.000 6.216 0.000
0.000 0.000 6.216
Be Hg H
4 8 4
Direct
0.000 0.000 0.000
0.000 0.500 0.500
0.500 0.000 0.500
0.500 0.500 0.000
0.250 0.250 0.250
0.250 0.250 0.750
0.250 0.750 0.250
0.250 0.750 0.750
0.750 0.250 0.250
0.750 0.250 0.750
0.750 0.750 0.250
0.750 0.750 0.750
0.000 0.000 0.500
0.000 0.500 0.000
0.500 0.000 0.000
0.500 0.500 0.500
```

Properties
The density of states at the Fermi level is 1.30 states/eV/f.u. The space-group type is Fm-3m, No. 225. As for the total magnetization: 0.0 μB per cell. Its polymorph energy (0 for the lowest one) is 0.73 eV/f.u.